--- i ---
ThZrC | GGA-PBE | relaxed

## Properties
ρ (g/cm³): 8.89
Magnetization (μB per formula unit): 0.00

a = 3.477 Å, b = 5.424 Å, c = 6.851 Å
α = 90.00°, β = 104.17°, γ = 90.00°
Space group P2_1/m (No. 11)
One atom of each set of equivalent atoms:
Th: 0.178 0.250 0.352 (multiplicity 2)
Zr: 0.424 0.250 0.858 (multiplicity 2)
C: 0.182 0.750 0.360 (multiplicity 2)

=====

--- ii ---
ThZrC | GGA-PBE | relaxed

## Properties
ρ (g/cm³): 8.79
Magnetization (μB per formula unit): 0.00

a = 3.4718 Å, b = 3.4718 Å, c = 6.0678 Å
α = 90.00°, β = 90.00°, γ = 120.00°
Space group P3m1 (No. 156)
One atom of each set of equivalent atoms:
Th: 0.0000 0.0000 0.0000 (multiplicity 1)
Zr: 0.3333 0.6667 0.5458 (multiplicity 1)
C: 0.6667 0.3333 0.7333 (multiplicity 1)

=====

Energy ordering: ii at the bottom, the next structure 10 meV per atom above.

=====

--- i ---
Ti4C | GGA-PBE | relaxed

## Properties
ρ (g/cm³): 4.48
Magnetization (μB per formula unit): 0.00

a = 5.200 Å, b = 3.016 Å, c = 9.743 Å
α = 90.00°, β = 99.32°, γ = 90.00°
Space group C2/m (No. 12)
One atom of each set of equivalent atoms:
Ti: 0.129 0.000 0.376 (multiplicity 4)
Ti: 0.203 0.500 0.116 (multiplicity 4)
C: 0.000 0.500 0.500 (multiplicity 2)

=====

--- ii ---
Ti4C | GGA-PBE | relaxed

## Properties
ρ (g/cm³): 4.47
Magnetization (μB per formula unit): 0.60

a = 4.230 Å, b = 4.230 Å, c = 4.230 Å
α = 90.00°, β = 90.00°, γ = 90.00°
Space group Pm-3m (No. 221)
One atom of each set of equivalent atoms:
Ti: 0.000 0.000 0.000 (multiplicity 1)
Ti: 0.000 0.500 0.500 (multiplicity 3)
C: 0.500 0.500 0.500 (multiplicity 1)

=====

Energy ordering: i at the bottom, the next structure 57 meV per atom above.

=====

--- i ---
TiTlC2 | GGA-PBE | relaxed

## Properties
ρ (g/cm³): 9.15
Magnetization (μB per formula unit): 0.00

a = 5.853 Å, b = 5.853 Å, c = 5.853 Å
α = 90.00°, β = 90.00°, γ = 90.00°
Space group Fm-3m (No. 225)
One atom of each set of equivalent atoms:
Ti: 0.000 0.000 0.000 (multiplicity 4)
Tl: 0.000 0.000 0.500 (multiplicity 4)
C: 0.250 0.250 0.250 (multiplicity 8)

=====

--- ii ---
TiTlC2 | GGA-PBE | relaxed

## Properties
ρ (g/cm³): 7.21
Magnetization (μB per formula unit): 0.00

a = 5.180 Å, b = 5.180 Å, c = 9.486 Å
α = 90.00°, β = 90.00°, γ = 90.00°
Space group I-42d (No. 122)
One atom of each set of equivalent atoms:
Ti: 0.000 0.000 0.000 (multiplicity 4)
Tl: 0.000 0.000 0.500 (multiplicity 4)
C: 0.203 0.250 0.125 (multiplicity 8)

=====

Energy ordering: ii at the bottom, the next structure 758 meV per atom above.

=====

--- i ---
TiTl3C | GGA-PBE | relaxed

## Properties
ρ (g/cm³): 9.62
Magnetization (μB per formula unit): 0.00

a = 4.880 Å, b = 4.880 Å, c = 4.880 Å
α = 90.00°, β = 90.00°, γ = 90.00°
Space group Pm-3m (No. 221)
One atom of each set of equivalent atoms:
Ti: 0.000 0.000 0.000 (multiplicity 1)
Tl: 0.000 0.500 0.500 (multiplicity 3)
C: 0.500 0.500 0.500 (multiplicity 1)

=====

--- ii ---
TiTl3C | GGA-PBE | relaxed

## Properties
ρ (g/cm³): 6.68
Magnetization (μB per formula unit): 0.94

a = 5.509 Å, b = 5.509 Å, c = 5.509 Å
α = 90.00°, β = 90.00°, γ = 90.00°
Space group Pm-3m (No. 221)
One atom of each set of equivalent atoms:
Ti: 0.000 0.000 0.000 (multiplicity 1)
Tl: 0.000 0.000 0.500 (multiplicity 3)
C: 0.500 0.500 0.500 (multiplicity 1)

=====

Energy ordering: i at the bottom, the next structure 330 meV per atom above.

=====

--- i ---
UTiC2 | GGA-PBE | relaxed

## Properties
ρ (g/cm³): 10.31
Magnetization (μB per formula unit): 0.00

a = 3.2343 Å, b = 3.2343 Å, c = 16.5362 Å
α = 90.00°, β = 90.00°, γ = 120.00°
Space group R-3m (No. 166, hexagonal axes)
One atom of each set of equivalent atoms:
U: 0.0000 0.0000 0.0000 (multiplicity 3)
Ti: 0.0000 0.0000 0.5000 (multiplicity 3)
C: 0.0000 0.0000 0.2416 (multiplicity 6)

=====

--- ii ---
UTiC2 | GGA-PBE | relaxed

## Properties
ρ (g/cm³): 10.24
Magnetization (μB per formula unit): 0.00

a = 3.1973 Å, b = 3.1973 Å, c = 17.0255 Å
α = 90.00°, β = 90.00°, γ = 120.00°
Space group R3m (No. 160, hexagonal axes)
One atom of each set of equivalent atoms:
U: 0.0000 0.0000 0.0000 (multiplicity 3)
Ti: 0.0000 0.0000 0.1734 (multiplicity 3)
C: 0.0000 0.0000 0.5769 (multiplicity 3)
C: 0.0000 0.0000 0.7584 (multiplicity 3)

=====

Energy ordering: i at the bottom, the next structure 201 meV per atom above.

=====

--- i ---
Ti3VC4 | GGA-PBE | relaxed

## Properties
ρ (g/cm³): 5.10
Magnetization (μB per formula unit): 0.00

a = 6.073 Å, b = 8.571 Å, c = 3.034 Å
α = 90.00°, β = 90.00°, γ = 90.00°
Space group Cmmm (No. 65)
One atom of each set of equivalent atoms:
Ti: 0.000 0.000 0.000 (multiplicity 2)
Ti: 0.250 0.250 0.500 (multiplicity 4)
V: 0.000 0.500 0.000 (multiplicity 2)
C: 0.000 0.253 0.000 (multiplicity 4)
C: 0.244 0.500 0.500 (multiplicity 4)

=====

--- ii ---
Ti3VC4 | GGA-PBE | relaxed

## Properties
ρ (g/cm³): 5.10
Magnetization (μB per formula unit): 0.00

a = 4.287 Å, b = 4.287 Å, c = 8.596 Å
α = 90.00°, β = 90.00°, γ = 90.00°
Space group I4/mmm (No. 139)
One atom of each set of equivalent atoms:
Ti: 0.000 0.000 0.000 (multiplicity 2)
Ti: 0.000 0.500 0.250 (multiplicity 4)
V: 0.000 0.000 0.500 (multiplicity 2)
C: 0.000 0.000 0.252 (multiplicity 4)
C: 0.000 0.500 0.000 (multiplicity 4)

=====

Energy ordering: i at the bottom, the next structure 11 meV per atom above.